# 1
9
Lattice="5.128 0.000 0.000 -2.564 7.708 0.014 0.000 -2.568 7.683" Properties=species:S:1:pos:R:3 comment="Tb2Pr4SmHo2, optimized geometry, DFT PBE" magmom_total_mub_per_fu=0.00 energy_ev_per_atom=-4.676 pbc="T T T"
Tb 2.564 5.141 2.551
Tb 0.000 -0.001 5.146
Pr 2.564 2.553 5.148
Pr 0.000 2.587 2.549
Pr 2.564 -0.020 2.545
Pr 0.000 5.160 5.152
Sm 0.000 0.000 0.000
Ho 2.564 0.023 7.683
Ho 0.000 5.117 0.014

***

# 2
12
Lattice="-2.295 -5.574 -1.548 2.729 0.812 5.534 -10.402 4.519 3.304" Properties=species:S:1:pos:R:3 comment="Tb2Pr3SmHo6, optimized geometry, DFT PBE" magmom_total_mub_per_fu=0.00 energy_ev_per_atom=-4.632 pbc="T T T"
Pr -3.310 2.007 6.005
Pr -4.984 -0.121 3.645
Pr -6.658 -2.249 1.285
Ho -1.621 0.994 2.990
Ho -7.725 2.208 3.489
Ho -6.670 0.894 6.662
Ho -3.297 -1.136 0.628
Ho -8.346 -1.236 4.300
Ho -2.243 -2.450 3.800
Tb 1.055 -1.316 3.173
Tb -0.620 -3.445 0.812
Sm 0.000 0.000 0.000

***

# 3
20
Lattice="9.266 -2.014 -2.090 0.754 8.629 -2.002 0.754 -2.321 8.549" Properties=species:S:1:pos:R:3 comment="TbPrSm6Ho2, optimized geometry, DFT PBE" magmom_total_mub_per_fu=0.00 energy_ev_per_atom=-4.568 pbc="T T T"
Tb 3.071 7.822 -2.232
Tb 7.704 -3.528 6.689
Sm 9.605 5.177 -1.665
Sm 4.120 2.939 0.703
Sm 2.136 4.489 -1.346
Sm 2.021 4.708 2.539
Sm 1.169 -0.883 6.122
Sm 8.638 -0.195 5.803
Sm 5.802 5.143 -1.701
Sm 4.972 -0.849 6.157
Sm 6.654 1.356 3.754
Sm 8.753 -0.414 1.917
Sm 4.005 6.813 1.065
Sm 6.769 -2.519 3.391
Ho 5.422 -0.097 0.981
Ho 0.789 1.992 0.985
Ho 9.985 2.303 3.472
Ho 5.352 4.391 3.475
Pr 7.704 2.671 0.716
Pr 3.071 1.623 3.741